A plane-wave DFT calculation with PBE was carried out for a relaxed structure of KHfTeAuS2.

Computed properties:
Uncorrected energy: -5.24 eV per atom
SG: No. 63

```
KHfTeAuS2
1.0
1.9188 -7.8750 0.0000
1.9188 7.8750 0.0000
0.0000 0.0000 10.6095
K Hf Te Au S
2 2 2 2 4
Direct
0.2181 0.7819 0.7500
0.7819 0.2181 0.2500
0.0000 0.0000 0.0000
0.0000 0.0000 0.5000
0.0932 0.9068 0.2500
0.9068 0.0932 0.7500
0.4642 0.5358 0.2500
0.5358 0.4642 0.7500
0.3927 0.6073 0.0455
0.3927 0.6073 0.4545
0.6073 0.3927 0.5455
0.6073 0.3927 0.9545
```


A plane-wave DFT calculation with PBE was carried out for a relaxed structure of AlHgSb.

Computed properties:
Uncorrected energy: -2.50 eV per atom
SG: No. 216

```
AlHgSb
1.0
0.0000 3.4856 3.4856
3.4856 0.0000 3.4856
3.4856 3.4856 0.0000
Al Hg Sb
1 1 1
Direct
0.0000 0.0000 0.0000
0.5000 0.5000 0.5000
0.2500 0.2500 0.2500
```


A plane-wave DFT calculation with PBE was carried out for a relaxed structure of DyTcNO.

Computed properties:
Uncorrected energy: -8.25 eV per atom
SG: No. 26
Energy above the lowest structure with this stoichiometry: 0.517 eV/atom

```
DyTcNO
1.0
3.5368 0.0000 0.0000
0.0000 6.1864 0.0000
0.0000 0.0000 5.1585
Dy Tc N O
2 2 2 2
Direct
0.0000 0.2315 0.0000
0.0000 0.7685 0.5000
0.5000 0.2554 0.5111
0.5000 0.7446 0.0111
0.0000 0.1378 0.4958
0.0000 0.8622 0.9958
0.5000 0.4295 0.8676
0.5000 0.5705 0.3676
```